Entry 1:
# Sc2Pd2Au, single point on PBEsol structure, DFT meta-GGA SCAN
# Energy, eV/atom: -33.577
# DOS at the Fermi energy, states/eV/cell: 6.90
data_Sc2Pd2Au
_chemical_formula_sum 'Sc4 Pd4 Au2'
_symmetry_space_group_name_H-M 'P 4/m b m'
_symmetry_Int_Tables_number 127
_symmetry_space_group_name_Hall '-P 4 2ab'
_cell_length_a 7.288
_cell_length_b 7.288
_cell_length_c 3.322
_cell_angle_alpha 90.00
_cell_angle_beta 90.00
_cell_angle_gamma 90.00
loop_
_atom_site_label
_atom_site_fract_x
_atom_site_fract_y
_atom_site_fract_z
Sc1 0.171 0.329 0.000
Pd1 0.131 0.631 0.500
Au1 0.000 0.000 0.500

***

Entry 2:
# Pd2AuSe2, single point on PBEsol structure, DFT meta-GGA SCAN
# Formation energy without anion corrections, eV/atom: 0.197
# DOS at the Fermi energy, states/eV/cell: 6.41
data_Pd2AuSe2
_chemical_formula_sum 'Pd4 Au2 Se4'
_symmetry_space_group_name_H-M 'I 4/m m m'
_symmetry_Int_Tables_number 139
_symmetry_space_group_name_Hall '-I 4 2'
_cell_length_a 3.821
_cell_length_b 3.821
_cell_length_c 12.563
_cell_angle_alpha 90.00
_cell_angle_beta 90.00
_cell_angle_gamma 90.00
loop_
_atom_site_label
_atom_site_fract_x
_atom_site_fract_y
_atom_site_fract_z
Pd1 0.000 0.500 0.250
Au1 0.000 0.000 0.000
Se1 0.000 0.000 0.385